# DyTm6Ni2S2 (PBE-GGA, relaxed)
# theoretical density	9.15	g/cm³
# DFT total energy	-0.4033	Ry/atom
data_DyTm6Ni2S2
_chemical_formula_sum 'Dy2 Tm12 Ni4 S4'
_space_group_name_H-M_alt 'I m m 2'
_space_group_IT_number 44
_space_group_name_Hall 'I 2 -2'
_cell_length_a 3.7180
_cell_length_b 14.6645
_cell_length_c 9.0357
_cell_angle_alpha 90.00
_cell_angle_beta 90.00
_cell_angle_gamma 90.00
loop_
_atom_site_label
_atom_site_type_symbol
_atom_site_fract_x
_atom_site_fract_y
_atom_site_fract_z
_atom_site_occupancy
Dy1 Dy 0.0000 0.0000 0.0000 1
Tm1 Tm 0.0000 0.1201 0.5954 1
Tm2 Tm 0.0000 0.3152 0.3886 1
Tm3 Tm 0.0000 0.3646 0.7515 1
Ni1 Ni 0.0000 0.2405 0.0858 1
S1 S 0.0000 0.0000 0.3455 1
S2 S 0.0000 0.5000 0.2494 1

---

# Dy3Tm4Ni2S2 (PBE-GGA, relaxed)
# theoretical density	8.93	g/cm³
# DFT total energy	-0.4047	Ry/atom
data_Dy3Tm4Ni2S2
_chemical_formula_sum 'Dy6 Tm8 Ni4 S4'
_space_group_name_H-M_alt 'I m m 2'
_space_group_IT_number 44
_space_group_name_Hall 'I 2 -2'
_cell_length_a 3.7335
_cell_length_b 14.7097
_cell_length_c 9.1068
_cell_angle_alpha 90.00
_cell_angle_beta 90.00
_cell_angle_gamma 90.00
loop_
_atom_site_label
_atom_site_type_symbol
_atom_site_fract_x
_atom_site_fract_y
_atom_site_fract_z
_atom_site_occupancy
Dy1 Dy 0.0000 0.0000 0.0000 1
Dy2 Dy 0.0000 0.1191 0.5963 1
Tm1 Tm 0.0000 0.3134 0.3903 1
Tm2 Tm 0.0000 0.3662 0.7511 1
Ni1 Ni 0.0000 0.2389 0.0881 1
S1 S 0.0000 0.0000 0.3392 1
S2 S 0.0000 0.5000 0.2563 1

---

# Dy3Y2Tm2Ni2S2 (PBE-GGA, relaxed)
# theoretical density	7.76	g/cm³
# DFT total energy	-0.4311	Ry/atom
data_Dy3Y2Tm2Ni2S2
_chemical_formula_sum 'Dy6 Y4 Tm4 Ni4 S4'
_space_group_name_H-M_alt 'I m m 2'
_space_group_IT_number 44
_space_group_name_Hall 'I 2 -2'
_cell_length_a 3.7587
_cell_length_b 14.7755
_cell_length_c 9.1277
_cell_angle_alpha 90.00
_cell_angle_beta 90.00
_cell_angle_gamma 90.00
loop_
_atom_site_label
_atom_site_type_symbol
_atom_site_fract_x
_atom_site_fract_y
_atom_site_fract_z
_atom_site_occupancy
Dy1 Dy 0.0000 0.0000 0.0000 1
Dy2 Dy 0.0000 0.1190 0.4010 1
Y1 Y 0.0000 0.3656 0.2458 1
Tm1 Tm 0.0000 0.3146 0.6080 1
Ni1 Ni 0.0000 0.2414 0.9142 1
S1 S 0.0000 0.0000 0.6559 1
S2 S 0.0000 0.5000 0.7434 1

---

# Dy2YTm4Ni2S2 (PBE-GGA, relaxed)
# theoretical density	8.45	g/cm³
# DFT total energy	-0.4173	Ry/atom
data_Dy2YTm4Ni2S2
_chemical_formula_sum 'Dy4 Y2 Tm8 Ni4 S4'
_space_group_name_H-M_alt 'I m m 2'
_space_group_IT_number 44
_space_group_name_Hall 'I 2 -2'
_cell_length_a 3.7411
_cell_length_b 14.7346
_cell_length_c 9.0611
_cell_angle_alpha 90.00
_cell_angle_beta 90.00
_cell_angle_gamma 90.00
loop_
_atom_site_label
_atom_site_type_symbol
_atom_site_fract_x
_atom_site_fract_y
_atom_site_fract_z
_atom_site_occupancy
Dy1 Dy 0.0000 0.1361 0.0000 1
Y1 Y 0.0000 0.5000 0.7543 1
Tm1 Tm 0.0000 0.1844 0.3636 1
Tm2 Tm 0.0000 0.3800 0.1560 1
Ni1 Ni 0.0000 0.2581 0.6682 1
S1 S 0.0000 0.0000 0.5039 1
S2 S 0.0000 0.5000 0.4040 1

---

# Dy2Y5Ni2S2 (PBE-GGA, relaxed)
# theoretical density	6.13	g/cm³
# DFT total energy	-0.4696	Ry/atom
data_Dy2Y5Ni2S2
_chemical_formula_sum 'Dy4 Y10 Ni4 S4'
_space_group_name_H-M_alt 'I m m 2'
_space_group_IT_number 44
_space_group_name_Hall 'I 2 -2'
_cell_length_a 3.7709
_cell_length_b 14.9039
_cell_length_c 9.1644
_cell_angle_alpha 90.00
_cell_angle_beta 90.00
_cell_angle_gamma 90.00
loop_
_atom_site_label
_atom_site_type_symbol
_atom_site_fract_x
_atom_site_fract_y
_atom_site_fract_z
_atom_site_occupancy
Dy1 Dy 0.0000 0.1860 0.0000 1
Y1 Y 0.0000 0.1330 0.6384 1
Y2 Y 0.0000 0.3820 0.7933 1
Y3 Y 0.0000 0.5000 0.3942 1
Ni1 Ni 0.0000 0.2601 0.3050 1
S1 S 0.0000 0.0000 0.1386 1
S2 S 0.0000 0.5000 0.0453 1

---

# DyNiSb (PBE-GGA, relaxed)
# theoretical density	8.29	g/cm³
# DFT total energy	-0.3643	Ry/atom
data_DyNiSb
_chemical_formula_sum 'Dy3 Ni3 Sb3'
_space_group_name_H-M_alt 'P -6 2 m'
_space_group_IT_number 189
_space_group_name_Hall 'P -6 -2'
_cell_length_a 8.0485
_cell_length_b 8.0485
_cell_length_c 3.6716
_cell_angle_alpha 90.00
_cell_angle_beta 90.00
_cell_angle_gamma 120.00
loop_
_atom_site_label
_atom_site_type_symbol
_atom_site_fract_x
_atom_site_fract_y
_atom_site_fract_z
_atom_site_occupancy
Dy1 Dy 0.0000 0.2847 0.0000 1
Ni1 Ni 0.0000 0.6702 0.5000 1
Sb1 Sb 0.0000 0.0000 0.5000 1
Sb2 Sb 0.3333 0.6667 0.0000 1